Entry 1:
A plane-wave DFT calculation with PBE-GGA was carried out for CaPm2MoN4 after structural relaxation.

The calculation puts the formation energy without anion corrections at -0.9304 eV/atom. Its density of states at the Fermi level is 3.450 states/eV/f.u.

abc: 3.430 6.429 12.448
angles: 90.00 90.00 105.47
Fractional coordinates of all 16 atoms:
Pm 0.628 0.256 0.039
Pm 0.372 0.744 0.539
Pm 0.372 0.744 0.961
Pm 0.628 0.256 0.461
N 0.422 0.843 0.750
N 0.264 0.528 0.122
N 0.000 0.000 0.500
N 0.578 0.157 0.250
N 0.736 0.472 0.878
N 0.736 0.472 0.622
N 0.000 0.000 0.000
N 0.264 0.528 0.378
Mo 0.186 0.372 0.250
Mo 0.814 0.628 0.750
Ca 0.065 0.130 0.750
Ca 0.935 0.870 0.250

***

Entry 2:
A plane-wave DFT calculation with PBE-GGA was carried out for CaPr2MoN4 after structural relaxation.

The calculation puts the formation energy without anion corrections at -0.8455 eV/atom. Its density of states at the Fermi level is 4.933 states/eV/f.u.

abc: 3.565 6.358 12.527
angles: 90.00 90.00 106.28
Fractional coordinates of all 16 atoms:
N 0.736 0.473 0.868
N 0.000 0.000 0.000
N 0.264 0.527 0.368
N 0.264 0.527 0.132
N 0.736 0.473 0.632
N 0.585 0.171 0.250
N 0.415 0.829 0.750
N 0.000 0.000 0.500
Ca 0.895 0.791 0.250
Ca 0.105 0.209 0.750
Pr 0.631 0.262 0.463
Pr 0.631 0.262 0.037
Pr 0.369 0.738 0.963
Pr 0.369 0.738 0.537
Mo 0.166 0.332 0.250
Mo 0.834 0.668 0.750

***

Entry 3:
A plane-wave DFT calculation with PBE-GGA was carried out for Ca2PrMoN4 after structural relaxation.

The calculation puts the formation energy without anion corrections at -0.9558 eV/atom. Its density of states at the Fermi level is 3.681 states/eV/f.u.

abc: 5.350 6.749 7.699
angles: 90.00 90.00 90.00
Fractional coordinates of all 16 atoms:
Pr 0.459 0.856 0.000
Pr 0.959 0.144 0.500
Ca 0.962 0.660 0.754
Ca 0.462 0.340 0.746
Ca 0.462 0.340 0.254
Ca 0.962 0.660 0.246
N 0.416 0.696 0.286
N 0.848 0.812 0.500
N 0.916 0.304 0.214
N 0.941 0.887 0.000
N 0.916 0.304 0.786
N 0.348 0.188 0.000
N 0.441 0.113 0.500
N 0.416 0.696 0.714
Mo 0.997 0.175 0.000
Mo 0.497 0.825 0.500

***

> Among the records above, which one has the highest formation energy without anion corrections?

CaPr2MoN4

***

Repeat the second record exactly.
A plane-wave DFT calculation with PBE-GGA was carried out for CaPr2MoN4 after structural relaxation.

The calculation puts the formation energy without anion corrections at -0.8455 eV/atom. Its density of states at the Fermi level is 4.933 states/eV/f.u.

abc: 3.565 6.358 12.527
angles: 90.00 90.00 106.28
Fractional coordinates of all 16 atoms:
N 0.736 0.473 0.868
N 0.000 0.000 0.000
N 0.264 0.527 0.368
N 0.264 0.527 0.132
N 0.736 0.473 0.632
N 0.585 0.171 0.250
N 0.415 0.829 0.750
N 0.000 0.000 0.500
Ca 0.895 0.791 0.250
Ca 0.105 0.209 0.750
Pr 0.631 0.262 0.463
Pr 0.631 0.262 0.037
Pr 0.369 0.738 0.963
Pr 0.369 0.738 0.537
Mo 0.166 0.332 0.250
Mo 0.834 0.668 0.750